DFT (GGA-PBE) results for crystalline Y2TaPdO at its relaxed geometry.

Properties
Uncorrected formation energy, eV per atom: -0.209
Space-group type: No. 123
Magnetic moment, μB/cell: 0.0

Cell lengths 5.7290, 5.7290, 3.8544 Å; angles 90.00, 90.00, 90.00 degrees
Closest atoms and distances in Å follow each position.
Fractional coordinates of all 5 atoms:
Pd  0.5000  0.5000  0.5000  8 Y 3.45, 2 Pd 3.85
Y  0.5000  0.0000  0.0000  2 Ta 2.86
Ta  0.0000  0.0000  0.0000  2 O 1.93
O  0.0000  0.0000  0.5000  2 Ta 1.93
Y  0.0000  0.5000  0.0000  2 Ta 2.86